## Sc5C2S2 (PBE-GGA)

Data for a relaxed structure of Sc5C2S2.

The space group is Cmce (No. 64) and the conventional cell measures 12.659, 6.586 and 6.608 Å, with angles of 90.00, 90.00 and 90.00 degrees. The distinct sites, in fractional coordinates, are Sc at (0.000, 0.000, 0.000), Sc at (0.120, 0.156, 0.344), C at (0.000, 0.165, 0.659) and S at (0.203, 0.000, 0.000).

The value obtained for the density of states at the Fermi level is 6.1 states/eV/f.u. The uncorrected formation energy is -0.958 eV per atom. As for the total magnetic moment: 0.00 μB/atom.